Record 1
This record from the Alexandria database describes an optimized crystal structure of NpZnTcPt. The functional is PBE-GGA.

Properties
- Energy: -7.813 eV/atom
- DOS at the Fermi energy: 22.95 states/eV per cell
- Symmetry: F-43m, No. 216
- Mass density: 14.3 g/cm³

a b c (Å): 6.5152 6.5152 6.5152
angles (deg): 90.00 90.00 90.00
Element x y z (fractional)
1 Np 0.0000 0.0000 0.0000
2 Np 0.0000 0.5000 0.5000
3 Np 0.5000 0.0000 0.5000
4 Np 0.5000 0.5000 0.0000
5 Zn 0.0000 0.0000 0.5000
6 Zn 0.0000 0.5000 0.0000
7 Zn 0.5000 0.0000 0.0000
8 Zn 0.5000 0.5000 0.5000
9 Tc 0.2500 0.2500 0.2500
10 Tc 0.2500 0.7500 0.7500
11 Tc 0.7500 0.2500 0.7500
12 Tc 0.7500 0.7500 0.2500
13 Pt 0.2500 0.2500 0.7500
14 Pt 0.2500 0.7500 0.2500
15 Pt 0.7500 0.2500 0.2500
16 Pt 0.7500 0.7500 0.7500


Record 2
This record from the Alexandria database describes an optimized crystal structure of NpTePt. The functional is PBE-GGA.

Properties
- Energy: -7.823 eV/atom
- DOS at the Fermi energy: 10.28 states/eV per cell
- Symmetry: P3m1, No. 156
- Mass density: 12.7 g/cm³

a b c (Å): 4.3899 4.3899 4.3775
angles (deg): 90.00 90.00 120.00
Element x y z (fractional)
1 Np 0.0000 0.0000 0.0000
2 Te 0.6667 0.3333 0.4350
3 Pt 0.3333 0.6667 0.6897


Record 3
This record from the Alexandria database describes an optimized crystal structure of NpTe2Pt. The functional is PBE-GGA.

Properties
- Energy: -6.152 eV/atom
- DOS at the Fermi energy: 31.82 states/eV per cell
- Symmetry: R-3m, No. 166
- Mass density: 9.6 g/cm³

a b c (Å): 3.8517 3.8517 27.8163
angles (deg): 90.00 90.00 120.00
Element x y z (fractional)
1 Np 0.0000 0.0000 0.0000
2 Np 0.3333 0.6667 0.6667
3 Np 0.6667 0.3333 0.3333
4 Te 0.0000 0.0000 0.1114
5 Te 0.0000 0.0000 0.8886
6 Te 0.3333 0.6667 0.5553
7 Te 0.3333 0.6667 0.7781
8 Te 0.6667 0.3333 0.2219
9 Te 0.6667 0.3333 0.4447
10 Pt 0.0000 0.0000 0.5000
11 Pt 0.3333 0.6667 0.1667
12 Pt 0.6667 0.3333 0.8333